Record 1
VASP calculation (GGA-PBE) on a relaxed structure of LaPuNiRu.

a = 6.924 Å, b = 6.924 Å, c = 6.924 Å
α = 90.00°, β = 90.00°, γ = 90.00°
Fractional positions:
La1 0.000 0.000 0.000
La2 0.000 0.500 0.500
La3 0.500 0.000 0.500
La4 0.500 0.500 0.000
Pu1 0.000 0.000 0.500
Pu2 0.000 0.500 0.000
Pu3 0.500 0.000 0.000
Pu4 0.500 0.500 0.500
Ni1 0.250 0.250 0.250
Ni2 0.250 0.750 0.750
Ni3 0.750 0.250 0.750
Ni4 0.750 0.750 0.250
Ru1 0.250 0.250 0.750
Ru2 0.250 0.750 0.250
Ru3 0.750 0.250 0.250
Ru4 0.750 0.750 0.750

Values from the calculation:
ΔE_f: -0.31 eV per formula unit

***

Record 2
VASP calculation (GGA-PBE) on a relaxed structure of KSiN2F.

a = 4.997 Å, b = 4.997 Å, c = 4.586 Å
α = 90.00°, β = 90.00°, γ = 90.00°
Fractional positions:
K1 0.000 0.000 0.000
Si1 0.500 0.500 0.500
N1 0.000 0.500 0.000
N2 0.500 0.000 0.000
F1 0.000 0.000 0.500

Values from the calculation:
E_form (uncorrected): 168.8 kJ per mole of atoms

***

Number 1: magnetization 1.117 μB per atom, ρ 10.86 g/cm3, volume 20.749 Å³/atom. Number 2: magnetization 0.800 μB per atom, ρ 1.66 g/cm3, volume 22.903 Å³/atom.